Record 1
The following is a DFT calculation (PBE) of FeIrPb after structural relaxation.

Cell: 3.2083 3.2083 6.3711 Å, 90.00 90.00 120.00°
Sites, in units of the cell vectors:
Fe: 0.0000 0.0000 0.0000
Ir: 0.3333 0.6667 0.2536
Pb: 0.6667 0.3333 0.6254

Computed properties:
- Magnetic moment: 3.69 μB per formula unit
- Polymorph energy (0 for the lowest one): 0.219 eV/atom
- ΔH_f (0 K): 0.57 eV/atom
- Final energy: -6.436 eV per atom

=====

Record 2
The following is a DFT calculation (PBE) of Ce5As5C after structural relaxation.

Cell: 7.1810 7.1810 8.1215 Å, 107.12 107.12 47.63°
Sites, in units of the cell vectors:
Ce: 0.0000 0.0000 0.0000
Ce: 0.3437 0.3437 0.6839
Ce: 0.3514 0.3514 0.1565
Ce: 0.6486 0.6486 0.8435
Ce: 0.6563 0.6563 0.3161
As: 0.1669 0.1669 0.8363
As: 0.1861 0.1861 0.3287
As: 0.5000 0.5000 0.5000
As: 0.8139 0.8139 0.6713
As: 0.8331 0.8331 0.1637
C: 0.5000 0.5000 0.0000

Computed properties:
- Magnetic moment: 1.37 μB per formula unit
- ΔH_f (0 K): -0.83 eV/atom
- Final energy: -6.483 eV per atom

=====

Record 3
The following is a DFT calculation (PBE) of ZnGePt after structural relaxation.

Cell: 4.4168 4.4168 2.8651 Å, 90.00 90.00 120.00°
Sites, in units of the cell vectors:
Zn: 0.0000 0.0000 0.0000
Ge: 0.3333 0.6667 0.5000
Pt: 0.6667 0.3333 0.5000

Computed properties:
- Magnetic moment: 0.00 μB per formula unit
- ΔH_f (0 K): -0.16 eV/atom
- Final energy: -4.141 eV per atom

=====

Record 4
The following is a DFT calculation (PBE) of Sr2TeWSe after structural relaxation.

Cell: 5.9828 5.9828 4.6902 Å, 90.00 90.00 90.00°
Sites, in units of the cell vectors:
Sr: 0.0000 0.5000 0.0000
Sr: 0.5000 0.0000 0.0000
Te: 0.0000 0.0000 0.5000
W: 0.5000 0.5000 0.5000
Se: 0.5000 0.5000 0.0000

Computed properties:
- Magnetic moment: 2.32 μB per formula unit
- Formation energy (no corrections): -0.1625 eV per atom
- Final energy: -4.751 eV per atom

=====

Record 5
The following is a DFT calculation (PBE) of Y2VSiMo after structural relaxation.

Cell: 5.3143 5.3143 4.4664 Å, 90.00 90.00 90.00°
Sites, in units of the cell vectors:
Y: 0.0000 0.5000 0.0000
Y: 0.5000 0.0000 0.0000
V: 0.0000 0.0000 0.5000
Si: 0.0000 0.0000 0.0000
Mo: 0.5000 0.5000 0.5000

Computed properties:
- Magnetic moment: 4.10 μB per formula unit
- Formation energy (no corrections): 0.7948 eV per atom
- Final energy: -6.865 eV per atom

=====

Record 6
The following is a DFT calculation (PBE) of Pr2TcC after structural relaxation.

Cell: 8.7973 8.7973 8.7973 Å, 23.28 23.28 23.28°
Sites, in units of the cell vectors:
Pr: 0.1090 0.1090 0.1090
Pr: 0.8910 0.8910 0.8910
Tc: 0.0000 0.0000 0.0000
C: 0.5000 0.5000 0.5000

Computed properties:
- Magnetic moment: 1.67 μB per formula unit
- ΔH_f (0 K): 0.81 eV/atom
- Final energy: -6.479 eV per atom

=====

Record 7
The following is a DFT calculation (PBE) of ThZrPd2 after structural relaxation.

Cell: 3.4448 3.4448 7.1902 Å, 90.00 90.00 90.00°
Sites, in units of the cell vectors:
Th: 0.0000 0.0000 0.0000
Zr: 0.0000 0.0000 0.5000
Pd: 0.5000 0.5000 0.2904
Pd: 0.5000 0.5000 0.7096

Computed properties:
- Magnetic moment: 0.00 μB per formula unit
- ΔH_f (0 K): -0.61 eV/atom
- Final energy: -7.200 eV per atom

=====

Record 8
The following is a DFT calculation (PBE) of Th2PdRu after structural relaxation.

Cell: 8.9214 8.9214 8.9214 Å, 25.70 25.70 25.70°
Sites, in units of the cell vectors:
Th: 0.1049 0.1049 0.1049
Th: 0.8951 0.8951 0.8951
Pd: 0.0000 0.0000 0.0000
Ru: 0.5000 0.5000 0.5000

Computed properties:
- Magnetic moment: 0.00 μB per formula unit
- ΔH_f (0 K): -0.11 eV/atom
- Final energy: -7.432 eV per atom

=====

Record 9
The following is a DFT calculation (PBE) of Sr2B2O5 after structural relaxation.

Cell: 7.5810 7.5810 5.6110 Å, 111.66 111.66 29.13°
Sites, in units of the cell vectors:
Sr: 0.1775 0.1775 0.1777
Sr: 0.8225 0.8225 0.8223
B: 0.3978 0.3978 0.3976
B: 0.6022 0.6022 0.6024
O: 0.3463 0.3463 0.5591
O: 0.3466 0.3466 0.1333
O: 0.5000 0.5000 0.5000
O: 0.6534 0.6534 0.8667
O: 0.6537 0.6537 0.4409

Computed properties:
- Magnetic moment: 0.00 μB per formula unit
- Polymorph energy (0 for the lowest one): 0.067 eV/atom
- Formation energy (no corrections): -2.7540 eV per atom
- Final energy: -7.366 eV per atom

=====

Record 10
The following is a DFT calculation (PBE) of PmMg3Sn3 after structural relaxation.

Cell: 7.7012 7.7012 7.7012 Å, 90.00 90.00 90.00°
Sites, in units of the cell vectors:
Pm: 0.0000 0.0000 0.0000
Pm: 0.5000 0.5000 0.5000
Mg: 0.0000 0.2500 0.5000
Mg: 0.0000 0.7500 0.5000
Mg: 0.2500 0.5000 0.0000
Mg: 0.5000 0.0000 0.2500
Mg: 0.5000 0.0000 0.7500
Mg: 0.7500 0.5000 0.0000
Sn: 0.0000 0.5000 0.2500
Sn: 0.0000 0.5000 0.7500
Sn: 0.2500 0.0000 0.5000
Sn: 0.5000 0.2500 0.0000
Sn: 0.5000 0.7500 0.0000
Sn: 0.7500 0.0000 0.5000

Computed properties:
- Magnetic moment: 0.00 μB per formula unit
- Polymorph energy (0 for the lowest one): 0.508 eV/atom
- ΔH_f (0 K): 0.32 eV/atom
- Final energy: -2.762 eV per atom

=====

Record 11
The following is a DFT calculation (PBE) of Ba2YSb after structural relaxation.

Cell: 10.7976 10.7976 10.7976 Å, 25.08 25.08 25.08°
Sites, in units of the cell vectors:
Ba: 0.2303 0.2303 0.2303
Ba: 0.7697 0.7697 0.7697
Y: 0.0000 0.0000 0.0000
Sb: 0.5000 0.5000 0.5000

Computed properties:
- Magnetic moment: 2.07 μB per formula unit
- Formation energy (no corrections): -0.1066 eV per atom
- Final energy: -3.715 eV per atom

=====

Please write out number 6 again, unchanged.
The following is a DFT calculation (PBE) of Pr2TcC after structural relaxation.

Cell: 8.7973 8.7973 8.7973 Å, 23.28 23.28 23.28°
Sites, in units of the cell vectors:
Pr: 0.1090 0.1090 0.1090
Pr: 0.8910 0.8910 0.8910
Tc: 0.0000 0.0000 0.0000
C: 0.5000 0.5000 0.5000

Computed properties:
- Magnetic moment: 1.67 μB per formula unit
- ΔH_f (0 K): 0.81 eV/atom
- Final energy: -6.479 eV per atom